# GGA-PBE Pm6SmDy2Y3, optimized geometry
# E_form	0.14	eV/f.u.
# crystal system	monoclinic
data_Pm6SmDy2Y3
_chemical_formula_sum 'Pm12 Sm2 Dy4 Y6'
_cell_length_a 6.2664
_cell_length_b 10.8508
_cell_length_c 11.9059
_cell_angle_alpha 90.00
_cell_angle_beta 100.07
_cell_angle_gamma 90.00
_space_group_name_H-M_alt 'C 1 2/m 1'
_space_group_IT_number 12
loop_
_space_group_symop_operation_xyz
'x,y,z'
'-x,-y,-z'
'-x,y,-z'
'x,-y,z'
'x+1/2,y+1/2,z'
'-x+1/2,-y+1/2,-z'
'-x+1/2,y+1/2,-z'
'x+1/2,-y+1/2,z'
loop_
_atom_site_label
_atom_site_type_symbol
_atom_site_fract_x
_atom_site_fract_y
_atom_site_fract_z
_atom_site_occupancy
Pm1 Pm 0.2494 0.1669 0.2501 1
Pm2 Pm 0.2500 0.0000 0.7499 1
Sm1 Sm 0.0000 0.5000 0.5000 1
Dy1 Dy 0.0000 0.1666 0.5000 1
Y1 Y 0.0000 0.0000 0.0000 1
Y2 Y 0.0000 0.3331 0.0000 1